(1)
## TlBi3Pb6 (PBE-GGA)

Data for a geometry-optimized TlBi3Pb6 structure.

a b c (Å): 4.5319 11.2840 13.9071
angles (deg): 104.03 90.00 90.00
Sites, in units of the cell vectors:
Tl 0.7500 0.0008 0.7520
Tl 0.2500 0.9992 0.2480
Bi 0.7500 0.3619 0.8145
Bi 0.2500 0.6381 0.1855
Bi 0.7500 0.7111 0.5733
Bi 0.2500 0.2889 0.4267
Bi 0.7500 0.1077 0.0798
Bi 0.2500 0.8923 0.9202
Pb 0.7500 0.4182 0.5870
Pb 0.2500 0.5818 0.4130
Pb 0.7500 0.7997 0.0754
Pb 0.2500 0.2003 0.9246
Pb 0.7500 0.4237 0.0675
Pb 0.2500 0.5763 0.9325
Pb 0.7500 0.7929 0.3410
Pb 0.2500 0.2071 0.6590
Pb 0.7500 0.0954 0.4622
Pb 0.2500 0.9046 0.5378
Pb 0.7500 0.7029 0.8086
Pb 0.2500 0.2971 0.1914

The calculation puts the size of the total moment at 0.0 μB per cell. The calculation puts the energy at -3.58 eV per atom.

=====

(2)
## TlBi4Pb5 (PBE-GGA)

Data for a geometry-optimized TlBi4Pb5 structure.

a b c (Å): 7.1302 10.6886 11.0249
angles (deg): 90.00 90.00 90.00
Sites, in units of the cell vectors:
Tl 0.8140 0.0000 0.0000
Tl 0.1860 0.5000 0.5000
Bi 0.0037 0.0000 0.7300
Bi 0.5125 0.7630 0.0000
Bi 0.5125 0.2370 0.0000
Bi 0.0037 0.0000 0.2700
Bi 0.9963 0.5000 0.2300
Bi 0.4875 0.7370 0.5000
Bi 0.4875 0.2630 0.5000
Bi 0.9963 0.5000 0.7700
Pb 0.2524 0.7501 0.7600
Pb 0.2524 0.2499 0.7600
Pb 0.7265 0.5000 0.0000
Pb 0.2524 0.7501 0.2400
Pb 0.2524 0.2499 0.2400
Pb 0.7476 0.7499 0.2600
Pb 0.7476 0.2501 0.2600
Pb 0.2735 0.0000 0.5000
Pb 0.7476 0.2501 0.7400
Pb 0.7476 0.7499 0.7400

The calculation puts the size of the total moment at 0.0 μB per cell. The calculation puts the energy at -3.51 eV per atom.

=====

(3)
## Tl12Bi2Pb5 (PBE-GGA)

Data for a geometry-optimized Tl12Bi2Pb5 structure.

a b c (Å): 9.9030 8.9550 8.4126
angles (deg): 92.01 90.00 123.57
Sites, in units of the cell vectors:
Tl 0.9119 0.8238 0.1168
Tl 0.0236 0.6891 0.7470
Tl 0.6655 0.6891 0.7470
Tl 0.1670 0.7525 0.3536
Tl 0.5855 0.7525 0.3536
Tl 0.4541 0.9082 0.6820
Tl 0.5459 0.0918 0.3180
Tl 0.8330 0.2475 0.6464
Tl 0.4145 0.2475 0.6464
Tl 0.9764 0.3109 0.2530
Tl 0.3345 0.3109 0.2530
Tl 0.0881 0.1762 0.8832
Bi 0.7018 0.0000 0.0000
Bi 0.2982 0.0000 0.0000
Pb 0.2403 0.4806 0.6097
Pb 0.3176 0.6352 0.0108
Pb 0.0000 0.0000 0.5000
Pb 0.6824 0.3648 0.9892
Pb 0.7597 0.5194 0.3903

The calculation puts the size of the total moment at 0.0 μB per cell. The calculation puts the energy at -2.84 eV per atom.

=====

(4)
## TlBi3Pb4 (PBE-GGA)

Data for a geometry-optimized TlBi3Pb4 structure.

a b c (Å): 10.4149 5.6100 8.8714
angles (deg): 90.00 90.00 90.00
Sites, in units of the cell vectors:
Tl 0.9537 0.5000 0.0000
Tl 0.4537 0.5000 0.5000
Bi 0.7559 0.0000 0.0000
Bi 0.9629 0.0000 0.2800
Bi 0.4629 0.0000 0.2200
Bi 0.2559 0.0000 0.5000
Bi 0.4629 0.0000 0.7800
Bi 0.9629 0.0000 0.7200
Pb 0.1874 0.0001 0.0000
Pb 0.3775 0.5000 0.0000
Pb 0.1575 0.5000 0.2995
Pb 0.6575 0.5000 0.2005
Pb 0.8775 0.5000 0.5000
Pb 0.6874 0.9999 0.5000
Pb 0.6575 0.5000 0.7995
Pb 0.1575 0.5000 0.7005

The calculation puts the size of the total moment at 0.0 μB per cell. The calculation puts the energy at -3.59 eV per atom.

=====

(5)
## Tl2Bi4Pb5 (PBE-GGA)

Data for a geometry-optimized Tl2Bi4Pb5 structure.

a b c (Å): 6.6249 7.7916 8.8254
angles (deg): 110.38 90.00 115.16
Sites, in units of the cell vectors:
Tl 0.8168 0.6337 0.6812
Tl 0.1832 0.3663 0.3188
Bi 0.5694 0.1387 0.3952
Bi 0.4306 0.8613 0.6048
Bi 0.2425 0.4849 0.7705
Bi 0.7575 0.5151 0.2295
Pb 0.3387 0.1840 0.9141
Pb 0.6613 0.8160 0.0859
Pb 0.0000 0.0000 0.5000
Pb 0.8453 0.1840 0.9141
Pb 0.1547 0.8160 0.0859

The calculation puts the size of the total moment at 0.0 μB per cell. The calculation puts the energy at -3.48 eV per atom.

=====

(6)
## TlBiPb (PBE-GGA)

Data for a geometry-optimized TlBiPb structure.

a b c (Å): 3.4719 5.6651 5.6651
angles (deg): 120.00 90.00 90.00
Sites, in units of the cell vectors:
Pb 0.4558 0.3333 0.6667
Tl 0.9904 0.0000 0.0000
Bi 0.5538 0.6667 0.3333

The calculation puts the size of the total moment at 0.0 μB per cell. The calculation puts the energy at -3.33 eV per atom.